# 1
CsCaRh3: relaxed, PBE.

Output
final energy = -18.1 eV for the cell shown

Cell: 4.9888 4.9888 4.9888 Å, 90.00 90.00 90.00°
Closest atoms and distances in Å follow each position.
Space group Pm-3m (No. 221)
One atom of each set of equivalent atoms:
Cs  0.0000  0.0000  0.0000  6 Rh 2.49
Ca  0.5000  0.5000  0.5000  12 Rh 3.53
Rh  0.0000  0.0000  0.5000  2 Cs 2.49

=====

# 2
LiZr2ScC: relaxed, PBE.

Output
final energy = -35.2 eV for the cell shown

Cell: 4.5857 4.5857 4.5618 Å, 90.00 90.00 90.00°
Closest atoms and distances in Å follow each position.
Space group P4/mmm (No. 123)
One atom of each set of equivalent atoms:
Li  0.0000  0.0000  0.0000  8 Zr 3.23, 4 Sc 3.24
Zr  0.0000  0.5000  0.5000  2 C 2.29
Sc  0.5000  0.5000  0.0000  2 C 2.28
C  0.5000  0.5000  0.5000  2 Sc 2.28, 4 Zr 2.29

=====

# 3
TiSnN2O: relaxed, PBE.

Output
final energy = -35.6 eV for the cell shown
ΔE_f (raw) = -0.412 eV per atom

Cell: 4.0479 4.0479 3.8285 Å, 90.00 90.00 90.00°
Closest atoms and distances in Å follow each position.
Space group P4/mmm (No. 123)
One atom of each set of equivalent atoms:
Ti  0.0000  0.0000  0.0000  2 O 1.91, 4 N 2.02
Sn  0.5000  0.5000  0.5000  8 N 2.79, 4 O 2.86
N  0.0000  0.5000  0.0000  2 Ti 2.02
O  0.0000  0.0000  0.5000  2 Ti 1.91

=====

# 4
Ac2CePm3Te6: relaxed, PBE.

Output
final energy = -128.7 eV for the cell shown
ΔE_f (raw) = -1.424 eV per atom

Cell: 19.9034 4.5313 9.1978 Å, 90.00 103.65 90.00°
Closest atoms and distances in Å follow each position.
Space group C2/m (No. 12)
One atom of each set of equivalent atoms:
Ac  0.1647  0.0000  0.3320  6 Te 3.29-3.32
Ce  0.0000  0.5000  0.0000  6 Te 3.21-3.24
Pm  0.0000  0.5000  0.5000  6 Te 3.17-3.22
Pm  0.1701  0.0000  0.8379  6 Te 3.14-3.18
Te  0.0058  0.0000  0.7510  3 Pm 3.18-3.22, 2 Ce 3.24, 1 Ac 3.30
Te  0.1636  0.5000  0.5944  3 Pm 3.17, 3 Ac 3.31-3.32
Te  0.1657  0.5000  0.0726  3 Pm 3.14-3.18, 1 Ce 3.21, 2 Ac 3.29

=====

# 5
RbBaNa: relaxed, PBE.

Output
final energy = -14.2 eV for the cell shown
distance to the lowest polymorph of the same formula = 191 meV/atom

Cell: 9.4085 9.4085 9.4085 Å, 90.00 90.00 90.00°
Closest atoms and distances in Å follow each position.
Space group F-43m (No. 216)
One atom of each set of equivalent atoms:
Rb  0.0000  0.0000  0.0000  4 Na 4.07
Ba  0.0000  0.0000  0.5000  4 Na 4.07
Na  0.2500  0.2500  0.7500  4 Ba 4.07, 4 Rb 4.07

=====

# 6
HoTm2Ga2: relaxed, PBE.

Output
final energy = -42.7 eV for the cell shown
distance to the lowest polymorph of the same formula = 154 meV/atom

Cell: 5.6702 3.9601 11.8077 Å, 90.00 98.34 90.00°
Closest atoms and distances in Å follow each position.
Space group P2_1/m (No. 11)
One atom of each set of equivalent atoms:
Ho  0.0448  0.2500  0.2881  5 Ga 2.93-3.07
Tm  0.2600  0.7500  0.0570  4 Ga 2.97-3.00
Tm  0.4165  0.2500  0.6293  5 Ga 2.94-3.24
Ga  0.1419  0.7500  0.4803  2 Ga 2.63, 2 Tm 2.94
Ga  0.2152  0.2500  0.8645  2 Ho 2.93, 5 Tm 2.97-3.15

=====

# 7
ScAlP2Cl: relaxed, PBE.

Output
final energy = -23.7 eV for the cell shown
distance to the lowest polymorph of the same formula = 0 meV/atom
ΔE_f (raw) = -0.191 eV per atom

Cell: 4.6699 4.6699 4.6504 Å, 90.00 90.00 90.00°
Closest atoms and distances in Å follow each position.
Space group P4/mmm (No. 123)
One atom of each set of equivalent atoms:
Sc  0.0000  0.0000  0.0000  8 P 3.30, 4 Cl 3.30
Al  0.5000  0.5000  0.5000  2 Cl 2.33, 4 P 2.33
P  0.0000  0.5000  0.5000  2 Al 2.33
Cl  0.5000  0.5000  0.0000  2 Al 2.33

=====

# 8
NiAg2Ir: relaxed, PBE.

Output
final energy = -37.2 eV for the cell shown
distance to the lowest polymorph of the same formula = 235 meV/atom

Cell: 5.4259 8.3771 2.7050 Å, 90.00 90.00 90.00°
Closest atoms and distances in Å follow each position.
Space group Cmmm (No. 65)
One atom of each set of equivalent atoms:
Ni  0.0000  0.0000  0.0000  2 Ni 2.70, 2 Ir 2.71, 8 Ag 2.84
Ag  0.2500  0.2500  0.5000  4 Ag 2.70-2.71, 4 Ni 2.84, 4 Ir 2.84
Ir  0.0000  0.5000  0.0000  2 Ir 2.70, 2 Ni 2.71, 8 Ag 2.84

=====

# 9
Be3Pt: relaxed, PBE.

Output
final energy = -18.2 eV for the cell shown

Cell: 2.6134 3.6704 4.4056 Å, 90.00 100.77 90.00°
Closest atoms and distances in Å follow each position.
Space group P2/m (No. 10)
One atom of each set of equivalent atoms:
Be  0.0000  0.0000  0.0000  4 Be 2.18, 2 Pt 2.34
Be  0.1503  0.5000  0.7659  4 Be 2.18-2.34
Pt  0.5000  0.0000  0.5000  6 Be 2.34-2.44, 2 Pt 2.61

=====

# 10
Zr2FeSb: relaxed, PBE.

Output
final energy = -61.0 eV for the cell shown
ΔE_f (raw) = -0.200 eV per atom

Cell: 4.0936 4.0936 9.4081 Å, 90.00 90.00 90.00°
Closest atoms and distances in Å follow each position.
Space group I-4m2 (No. 119)
One atom of each set of equivalent atoms:
Zr  0.0000  0.0000  0.0000  4 Sb 2.89, 4 Zr 3.12, 4 Fe 3.12
Zr  0.0000  0.5000  0.2500  4 Fe 2.89, 4 Zr 3.12, 4 Sb 3.12
Fe  0.0000  0.5000  0.7500  8 Zr 2.89-3.12, 4 Sb 3.12
Sb  0.0000  0.0000  0.5000  8 Zr 2.89-3.12, 4 Fe 3.12

=====

# 11
ScTl2P: relaxed, PBE.

Output
final energy = -16.9 eV for the cell shown
distance to the lowest polymorph of the same formula = 350 meV/atom

Cell: 4.1719 4.1719 5.3195 Å, 90.00 90.00 90.00°
Closest atoms and distances in Å follow each position.
Space group P4/mmm (No. 123)
One atom of each set of equivalent atoms:
Sc  0.0000  0.0000  0.0000  4 P 2.95
Tl  0.0000  0.5000  0.5000  4 Tl 2.95
P  0.5000  0.5000  0.0000  4 Sc 2.95